[1]
A relaxed structure of KFe2Ni, computed with GGA-PBE.

Output
As for the crystal system: cubic. The value obtained for the density of states at the Fermi level is 3.931 states/eV/cell. The energy of formation from the pure elements is 1.253 eV/atom.

Cell lengths 4.502, 4.502, 4.502 Å; angles 60.00, 60.00, 60.00 degrees
Positions (direct):
1 Ni 0.500 0.500 0.500
2 K 0.000 0.000 0.000
3 Fe 0.250 0.250 0.250
4 Fe 0.750 0.750 0.750



[2]
A relaxed structure of Ti2Pd3Pt2, computed with GGA-PBE.

Output
As for the crystal system: orthorhombic. The value obtained for the density of states at the Fermi level is 4.570 states/eV/cell. The energy of formation from the pure elements is -0.606 eV/atom.

Cell lengths 3.796, 2.841, 10.403 Å; angles 90.00, 100.51, 90.00 degrees
Positions (direct):
1 Pd 0.430 0.500 0.859
2 Pd 0.570 0.500 0.141
3 Pd 0.000 0.000 0.000
4 Pt 0.297 0.500 0.594
5 Pt 0.703 0.500 0.406
6 Ti 0.141 0.000 0.281
7 Ti 0.859 0.000 0.719



[3]
A relaxed structure of ZrUOs, computed with GGA-PBE.

Output
As for the crystal system: orthorhombic. The value obtained for the density of states at the Fermi level is 12.064 states/eV/cell. The energy of formation from the pure elements is 0.311 eV/atom.

Cell lengths 5.983, 3.098, 7.544 Å; angles 101.85, 113.36, 90.00 degrees
Positions (direct):
1 Os 0.230 0.500 0.000
2 Os 0.770 0.500 0.000
3 U 0.828 0.328 0.655
4 U 0.172 0.672 0.345
5 Zr 0.624 0.124 0.249
6 Zr 0.376 0.876 0.751



[4]
A relaxed structure of Na2Sr8Cd, computed with GGA-PBE.

Output
As for the crystal system: monoclinic. The value obtained for the density of states at the Fermi level is 10.475 states/eV/cell. The energy of formation from the pure elements is -0.016 eV/atom.

Cell lengths 6.333, 8.300, 11.039 Å; angles 107.95, 106.67, 90.00 degrees
Positions (direct):
1 Sr 0.409 0.572 0.817
2 Sr 0.019 0.785 0.038
3 Sr 0.591 0.428 0.183
4 Sr 0.652 0.956 0.303
5 Sr 0.348 0.044 0.697
6 Sr 0.802 0.713 0.604
7 Sr 0.198 0.287 0.396
8 Sr 0.981 0.215 0.962
9 Cd 0.500 0.000 0.000
10 Na 0.819 0.287 0.637
11 Na 0.181 0.713 0.363



[5]
A relaxed structure of Si23Rh3, computed with GGA-PBE.

Output
Its uncorrected formation energy is 11.2 eV per formula unit. As for the crystal system: cubic. The value obtained for the density of states at the Fermi level is 46.528 states/eV/cell.

Cell lengths 10.078, 10.078, 10.078 Å; angles 90.00, 90.00, 90.00 degrees
Positions (direct):
1 Si 0.684 0.684 0.684
2 Si 0.385 0.812 0.500
3 Si 0.184 0.816 0.816
4 Si 0.000 0.312 0.885
5 Si 0.684 0.684 0.316
6 Si 0.750 0.000 0.500
7 Si 0.500 0.615 0.812
8 Si 0.316 0.316 0.684
9 Si 0.816 0.184 0.184
10 Si 0.115 0.000 0.312
11 Si 0.184 0.184 0.816
12 Si 0.816 0.816 0.816
13 Si 0.615 0.188 0.500
14 Si 0.316 0.684 0.684
15 Si 0.688 0.115 0.000
16 Si 0.816 0.816 0.184
17 Si 0.684 0.316 0.316
18 Si 0.500 0.615 0.188
19 Si 0.188 0.500 0.615
20 Si 0.885 0.000 0.688
21 Si 0.615 0.812 0.500
22 Si 0.000 0.500 0.750
23 Si 0.000 0.688 0.885
24 Si 0.500 0.250 0.000
25 Si 0.316 0.316 0.316
26 Si 0.312 0.115 0.000
27 Si 0.688 0.885 0.000
28 Si 0.115 0.000 0.688
29 Si 0.812 0.500 0.385
30 Si 0.312 0.885 0.000
31 Si 0.184 0.816 0.184
32 Si 0.000 0.688 0.115
33 Si 0.184 0.184 0.184
34 Si 0.885 0.000 0.312
35 Si 0.385 0.188 0.500
36 Si 0.500 0.385 0.812
37 Si 0.500 0.750 0.000
38 Si 0.000 0.312 0.115
39 Si 0.684 0.316 0.684
40 Si 0.250 0.000 0.500
41 Si 0.000 0.500 0.250
42 Si 0.188 0.500 0.385
43 Si 0.500 0.385 0.188
44 Si 0.812 0.500 0.615
45 Si 0.316 0.684 0.316
46 Si 0.816 0.184 0.816
47 Rh 0.750 0.500 0.000
48 Rh 0.500 0.000 0.250
49 Rh 0.000 0.250 0.500
50 Rh 0.000 0.750 0.500
51 Rh 0.500 0.000 0.750
52 Rh 0.250 0.500 0.000



[6]
A relaxed structure of TlHgPb4, computed with GGA-PBE.

Output
As for the crystal system: monoclinic. The value obtained for the density of states at the Fermi level is 3.192 states/eV/cell. The energy of formation from the pure elements is 0.117 eV/atom.

Cell lengths 5.209, 5.203, 9.193 Å; angles 72.59, 73.54, 59.96 degrees
Positions (direct):
1 Pb 0.123 0.120 0.635
2 Pb 0.628 0.624 0.120
3 Pb 0.877 0.880 0.365
4 Pb 0.372 0.376 0.880
5 Tl 0.500 0.500 0.500
6 Hg 0.000 0.000 0.000